[1]
CaNdF: optimized geometry, PBE-GGA.

Cell lengths 13.372, 3.474, 6.660 Å; angles 90.00, 90.00, 90.00 degrees
Atoms (fractional coordinates):
Ca 0.000 0.000 0.000
Ca 0.000 0.500 0.500
Ca 0.500 0.000 0.042
Ca 0.500 0.500 0.542
Nd 0.234 0.000 0.297
Nd 0.234 0.500 0.797
Nd 0.766 0.000 0.297
Nd 0.766 0.500 0.797
F 0.405 0.000 0.750
F 0.405 0.500 0.250
F 0.595 0.000 0.750
F 0.595 0.500 0.250

Computed properties:
raw total energy = -4.4007 eV per atom
mass density = 4366 kg/m3
calculated volume = 25.8 Å³ per atom
uncorrected formation energy = -440 kJ/mol of formula units

***

[2]
Ca2NdF7: optimized geometry, PBE-GGA.

Cell lengths 3.938, 3.938, 30.803 Å; angles 90.11, 90.11, 60.03 degrees
Atoms (fractional coordinates):
Ca 0.000 0.000 0.000
Ca 0.002 0.002 0.307
Ca 0.334 0.334 0.204
Ca 0.337 0.337 0.517
Ca 0.667 0.667 0.102
Ca 0.670 0.670 0.414
Nd 0.004 0.004 0.626
Nd 0.334 0.334 0.877
Nd 0.671 0.671 0.751
F 0.000 0.000 0.080
F 0.000 0.000 0.839
F 0.000 0.000 0.921
F 0.001 0.001 0.233
F 0.004 0.004 0.443
F 0.004 0.004 0.547
F 0.004 0.004 0.747
F 0.334 0.334 0.029
F 0.334 0.334 0.131
F 0.335 0.335 0.284
F 0.335 0.335 0.796
F 0.337 0.337 0.393
F 0.338 0.338 0.621
F 0.338 0.338 0.714
F 0.666 0.666 0.979
F 0.667 0.667 0.876
F 0.668 0.668 0.181
F 0.669 0.669 0.336
F 0.670 0.670 0.494
F 0.671 0.671 0.590
F 0.671 0.671 0.671

Computed properties:
raw total energy = -6.0615 eV per atom
mass density = 4302 kg/m3
calculated volume = 13.8 Å³ per atom
uncorrected formation energy = -3738 kJ/mol of formula units